(1)
The following is a PBE-GGA calculation of crystalline Ce2Pm3SmS6 at its relaxed geometry, from the Alexandria database.

Geometry as POSCAR:
```
Ce2Pm3SmS6
1.0
6.972 -0.004 -0.002
-3.488 6.036 -0.002
-1.165 -2.017 6.585
S Pm Ce Sm
6 3 2 1
Direct
0.750 0.750 0.248 S
0.917 0.584 0.751 S
0.416 0.083 0.249 S
0.250 0.250 0.752 S
0.083 0.416 0.249 S
0.584 0.917 0.751 S
0.835 0.165 0.500 Pm
0.165 0.835 0.500 Pm
0.500 0.500 0.500 Pm
0.334 0.666 0.000 Ce
0.666 0.334 0.000 Ce
0.000 0.000 0.000 Sm
```

(2)
The following is a PBE-GGA calculation of crystalline Ce4PmSm3S8 at its relaxed geometry, from the Alexandria database.

Geometry as POSCAR:
```
Ce4PmSm3S8
1.0
-0.153 7.732 2.187
-4.279 -1.932 6.533
7.026 -3.637 -1.418
Ce S Sm Pm
4 8 3 1
Direct
0.000 0.000 0.000 Ce
0.500 0.000 0.000 Ce
0.500 0.000 0.500 Ce
0.000 0.000 0.500 Ce
0.251 0.252 0.501 S
0.748 0.749 0.999 S
0.750 0.251 0.500 S
0.250 0.749 0.999 S
0.750 0.251 0.001 S
0.252 0.251 0.001 S
0.250 0.749 0.500 S
0.749 0.748 0.499 S
0.500 0.500 0.000 Sm
0.000 0.500 0.500 Sm
0.500 0.500 0.500 Sm
0.000 0.500 0.000 Pm
```

(3)
The following is a PBE-GGA calculation of crystalline Ce4Pm3SmS8 at its relaxed geometry, from the Alexandria database.

Geometry as POSCAR:
```
Ce4Pm3SmS8
1.0
8.052 0.000 0.000
0.000 8.057 -0.001
-4.026 -4.021 5.696
Sm S Pm Ce
1 8 3 4
Direct
0.000 0.500 0.000 Sm
0.250 0.250 0.500 S
0.249 0.251 0.000 S
0.750 0.750 0.500 S
0.751 0.251 0.501 S
0.751 0.749 0.000 S
0.249 0.749 0.499 S
0.751 0.251 0.000 S
0.249 0.749 0.000 S
0.500 0.500 0.500 Pm
0.000 0.500 0.500 Pm
0.500 0.500 0.000 Pm
0.000 0.000 0.500 Ce
0.500 0.000 0.000 Ce
0.000 0.000 0.000 Ce
0.500 0.000 0.500 Ce
```

(4)
The following is a PBE-GGA calculation of crystalline Ce3PmSm4S8 at its relaxed geometry, from the Alexandria database.

Geometry as POSCAR:
```
Ce3PmSm4S8
1.0
-4.664 -1.962 6.242
-1.354 -7.210 -3.278
7.534 2.489 1.240
Ce Pm S Sm
3 1 8 4
Direct
0.000 0.500 0.500 Ce
0.500 0.500 0.500 Ce
0.500 0.500 0.000 Ce
0.000 0.500 0.000 Pm
0.251 0.752 0.001 S
0.249 0.248 0.499 S
0.749 0.248 0.499 S
0.750 0.752 0.001 S
0.250 0.248 0.999 S
0.251 0.752 0.501 S
0.749 0.248 0.999 S
0.751 0.752 0.501 S
0.000 0.000 0.000 Sm
0.500 0.000 0.500 Sm
0.000 0.000 0.500 Sm
0.500 0.000 0.000 Sm
```

(5)
The following is a PBE-GGA calculation of crystalline CePm3Sm3S8 at its relaxed geometry, from the Alexandria database.

Geometry as POSCAR:
```
CePm3Sm3S8
1.0
8.035 0.000 0.000
-4.018 6.959 -0.024
0.000 -4.617 6.579
S Sm Pm Ce
8 3 3 1
Direct
0.749 0.499 0.748 S
0.251 0.502 0.749 S
0.252 0.002 0.251 S
0.749 0.002 0.251 S
0.251 0.501 0.252 S
0.251 0.998 0.749 S
0.748 0.998 0.749 S
0.749 0.498 0.251 S
0.500 0.000 0.500 Sm
0.500 0.500 0.500 Sm
0.000 0.500 0.500 Sm
0.000 0.000 0.000 Pm
0.000 0.500 0.000 Pm
0.500 0.500 0.000 Pm
0.000 0.000 0.500 Ce
```

(6)
The following is a PBE-GGA calculation of crystalline CePmSm2S4 at its relaxed geometry, from the Alexandria database.

Geometry as POSCAR:
```
CePmSm2S4
1.0
-3.441 -0.660 1.943
-1.917 -4.528 -4.933
3.476 -3.379 5.010
Ce S Pm Sm
1 4 1 2
Direct
0.500 0.500 0.000 Ce
0.000 0.750 0.252 S
0.000 0.250 0.748 S
0.500 0.251 0.252 S
0.500 0.749 0.748 S
0.000 0.000 0.000 Pm
0.500 0.000 0.500 Sm
0.000 0.500 0.500 Sm
```

(7)
The following is a PBE-GGA calculation of crystalline Ce3Pm4SmS8 at its relaxed geometry, from the Alexandria database.

Geometry as POSCAR:
```
Ce3Pm4SmS8
1.0
-5.632 4.092 -4.053
1.777 -4.156 -6.665
-1.945 -3.894 6.777
Ce Pm S Sm
3 4 8 1
Direct
0.500 0.500 0.000 Ce
0.000 0.500 0.500 Ce
0.500 0.500 0.500 Ce
0.500 0.000 0.000 Pm
0.500 0.000 0.500 Pm
0.000 0.000 0.500 Pm
0.000 0.000 0.000 Pm
0.250 0.251 0.001 S
0.750 0.750 0.500 S
0.249 0.749 0.499 S
0.249 0.749 0.999 S
0.751 0.251 0.001 S
0.750 0.749 0.999 S
0.250 0.250 0.500 S
0.751 0.251 0.501 S
0.000 0.500 0.000 Sm
```

(8)
The following is a PBE-GGA calculation of crystalline CePm2Sm3S6 at its relaxed geometry, from the Alexandria database.

Geometry as POSCAR:
```
CePm2Sm3S6
1.0
-0.779 3.716 -5.835
-3.194 -6.148 0.675
-3.895 3.817 4.338
S Pm Sm Ce
6 2 3 1
Direct
0.584 0.916 0.749 S
0.416 0.084 0.251 S
0.084 0.416 0.251 S
0.752 0.752 0.253 S
0.248 0.248 0.747 S
0.916 0.584 0.749 S
0.667 0.333 0.000 Pm
0.333 0.667 0.000 Pm
0.831 0.169 0.500 Sm
0.169 0.831 0.500 Sm
0.500 0.500 0.500 Sm
0.000 0.000 0.000 Ce
```

(9)
The following is a PBE-GGA calculation of crystalline CePm4SmS8 at its relaxed geometry, from the Alexandria database.

Geometry as POSCAR:
```
CePm4SmS8
1.0
8.302 0.000 0.000
4.151 7.190 0.000
4.151 2.397 6.770
S Pm Sm Ce
8 4 1 1
Direct
0.757 0.757 0.728 S
0.227 0.759 0.256 S
0.759 0.227 0.256 S
0.240 0.240 0.742 S
0.778 0.240 0.742 S
0.240 0.778 0.742 S
0.241 0.241 0.278 S
0.759 0.759 0.256 S
0.625 0.625 0.126 Pm
0.500 0.000 0.500 Pm
0.000 0.000 0.500 Pm
0.000 0.500 0.500 Pm
0.000 0.000 0.999 Sm
0.375 0.375 0.875 Ce
```

(10)
The following is a PBE-GGA calculation of crystalline SrCePm2S4 at its relaxed geometry, from the Alexandria database.

Geometry as POSCAR:
```
SrCePm2S4
1.0
-2.973 2.521 -1.152
-2.325 -4.845 -4.603
-4.772 -4.164 3.202
S Pm Sr Ce
4 2 1 1
Direct
0.500 0.243 0.757 S
0.000 0.753 0.753 S
0.500 0.757 0.243 S
0.000 0.247 0.247 S
0.000 0.000 0.000 Pm
0.500 0.000 0.500 Pm
0.000 0.500 0.500 Sr
0.500 0.500 0.000 Ce
```

(11)
The following is a PBE-GGA calculation of crystalline SrCe2PmS4 at its relaxed geometry, from the Alexandria database.

Geometry as POSCAR:
```
SrCe2PmS4
1.0
-0.853 -3.975 0.084
5.826 -1.168 3.908
-1.665 0.503 6.863
S Sr Ce Pm
4 1 2 1
Direct
0.000 0.244 0.257 S
0.500 0.752 0.253 S
0.000 0.756 0.743 S
0.500 0.248 0.747 S
0.500 0.500 0.000 Sr
0.500 0.000 0.500 Ce
0.000 0.000 0.000 Ce
0.000 0.500 0.500 Pm
```

(12)
The following is a PBE-GGA calculation of crystalline SrCePm4S8 at its relaxed geometry, from the Alexandria database.

Geometry as POSCAR:
```
SrCePm4S8
1.0
-7.811 2.958 -0.443
-6.492 -5.139 1.185
-4.628 0.648 6.971
S Pm Ce Sr
8 4 1 1
Direct
0.228 0.756 0.260 S
0.238 0.789 0.735 S
0.758 0.758 0.727 S
0.238 0.238 0.735 S
0.756 0.228 0.260 S
0.238 0.238 0.287 S
0.789 0.238 0.735 S
0.756 0.756 0.260 S
0.496 0.002 0.501 Pm
0.002 0.002 0.501 Pm
0.625 0.625 0.125 Pm
0.002 0.496 0.501 Pm
0.001 0.001 0.997 Ce
0.375 0.375 0.874 Sr
```

(13)
The following is a PBE-GGA calculation of crystalline Tb2Ce3PmS6 at its relaxed geometry, from the Alexandria database.

Geometry as POSCAR:
```
Tb2Ce3PmS6
1.0
-3.754 5.584 -1.559
-2.504 -6.312 -1.262
-0.589 0.111 6.923
S Ce Tb Pm
6 3 2 1
Direct
0.580 0.919 0.756 S
0.742 0.742 0.242 S
0.420 0.081 0.244 S
0.919 0.580 0.756 S
0.081 0.420 0.244 S
0.258 0.258 0.758 S
0.500 0.500 0.500 Ce
0.165 0.835 0.500 Ce
0.835 0.165 0.500 Ce
0.333 0.667 0.000 Tb
0.667 0.333 0.000 Tb
0.000 0.000 0.000 Pm
```

(14)
The following is a PBE-GGA calculation of crystalline Tb3CePm2S6 at its relaxed geometry, from the Alexandria database.

Geometry as POSCAR:
```
Tb3CePm2S6
1.0
-3.942 0.307 0.204
-0.302 -6.739 4.313
2.767 6.086 5.885
S Ce Tb Pm
6 1 3 2
Direct
0.665 0.589 0.330 S
0.998 0.256 0.995 S
0.331 0.922 0.662 S
0.335 0.411 0.670 S
0.669 0.078 0.338 S
0.002 0.744 0.005 S
0.500 0.000 0.000 Ce
0.833 0.165 0.666 Tb
0.500 0.500 0.000 Tb
0.167 0.835 0.334 Tb
0.834 0.669 0.668 Pm
0.166 0.331 0.332 Pm
```

(15)
The following is a PBE-GGA calculation of crystalline TbCe2PmS5 at its relaxed geometry, from the Alexandria database.

Geometry as POSCAR:
```
TbCe2PmS5
1.0
4.930 0.000 0.000
0.000 4.930 0.000
0.000 0.000 10.502
Ce S Tb Pm
2 5 1 1
Direct
0.500 0.500 0.693 Ce
0.500 0.500 0.307 Ce
0.500 0.000 0.500 S
0.500 0.500 0.000 S
0.000 0.000 0.248 S
0.000 0.500 0.500 S
0.000 0.000 0.752 S
0.000 0.000 0.500 Tb
0.000 0.000 0.000 Pm
```

(16)
The following is a PBE-GGA calculation of crystalline TbCePm2S4 at its relaxed geometry, from the Alexandria database.

Geometry as POSCAR:
```
TbCePm2S4
1.0
3.992 0.000 0.000
0.000 6.952 0.131
0.000 -2.417 6.497
Tb S Ce Pm
1 4 1 2
Direct
0.000 0.000 0.000 Tb
0.000 0.247 0.754 S
0.500 0.244 0.243 S
0.500 0.756 0.757 S
0.000 0.753 0.246 S
0.500 0.500 0.000 Ce
0.000 0.500 0.500 Pm
0.500 0.000 0.500 Pm
```

(17)
The following is a PBE-GGA calculation of crystalline TbCe2Pm3S6 at its relaxed geometry, from the Alexandria database.

Geometry as POSCAR:
```
TbCe2Pm3S6
1.0
6.952 -0.005 -0.002
-3.479 6.019 -0.002
-1.161 -2.010 6.556
S Tb Ce Pm
6 1 2 3
Direct
0.753 0.753 0.247 S
0.918 0.589 0.754 S
0.082 0.411 0.246 S
0.247 0.247 0.753 S
0.589 0.918 0.754 S
0.411 0.082 0.246 S
0.000 0.000 0.000 Tb
0.666 0.334 0.000 Ce
0.334 0.666 0.000 Ce
0.833 0.167 0.500 Pm
0.500 0.500 0.500 Pm
0.167 0.833 0.500 Pm
```

(18)
The following is a PBE-GGA calculation of crystalline Tb2CePmS4 at its relaxed geometry, from the Alexandria database.

Geometry as POSCAR:
```
Tb2CePmS4
1.0
-1.793 -3.526 -0.104
6.127 -3.108 -0.264
-1.888 0.765 6.623
Pm S Ce Tb
1 4 1 2
Direct
0.000 0.000 0.000 Pm
0.000 0.247 0.741 S
0.000 0.753 0.259 S
0.500 0.746 0.740 S
0.500 0.254 0.260 S
0.500 0.500 0.000 Ce
0.500 0.000 0.500 Tb
0.000 0.500 0.500 Tb
```

(19)
The following is a PBE-GGA calculation of crystalline Tb4Ce3PmS8 at its relaxed geometry, from the Alexandria database.

Geometry as POSCAR:
```
Tb4Ce3PmS8
1.0
-6.358 -4.732 -0.286
1.364 -1.366 -7.738
5.725 -1.367 5.315
Ce S Pm Tb
3 8 1 4
Direct
0.500 0.500 0.500 Ce
0.000 0.500 0.500 Ce
0.500 0.500 0.000 Ce
0.247 0.240 0.494 S
0.247 0.241 0.994 S
0.753 0.760 0.506 S
0.747 0.241 0.494 S
0.253 0.759 0.506 S
0.747 0.241 0.994 S
0.753 0.759 0.006 S
0.253 0.759 0.006 S
0.000 0.500 0.000 Pm
0.000 0.000 0.000 Tb
0.500 0.000 0.000 Tb
0.000 0.000 0.500 Tb
0.500 0.000 0.500 Tb
```

(20)
The following is a PBE-GGA calculation of crystalline TbCe3Pm4S8 at its relaxed geometry, from the Alexandria database.

Geometry as POSCAR:
```
TbCe3Pm4S8
1.0
8.036 0.000 0.000
0.000 8.029 -0.009
-4.018 -4.014 5.685
Ce S Pm Tb
3 8 4 1
Direct
0.500 0.500 0.500 Ce
0.500 0.500 0.000 Ce
0.000 0.500 0.500 Ce
0.753 0.746 0.999 S
0.250 0.250 0.500 S
0.247 0.254 0.001 S
0.753 0.254 0.001 S
0.247 0.746 0.999 S
0.750 0.750 0.500 S
0.247 0.746 0.493 S
0.753 0.254 0.507 S
0.500 0.000 0.500 Pm
0.500 0.000 0.000 Pm
0.000 0.000 0.000 Pm
0.000 0.000 0.500 Pm
0.000 0.500 0.000 Tb
```

In kJ per mole of atoms, the E_form (uncorrected) values for the records above are, in order, -197.1 -197.0 -197.2 -196.8 -196.0 -196.6 -197.1 -196.5 -183.8 -195.8 -194.1 -189.2 -196.7 -195.7 -141.4 -196.3 -196.7 -196.1 -196.4 -196.8.
In eV per atom, the electronic total energy values for the records above are, in order, -6.6762 -6.7703 -6.7763 -6.6924 -6.5220 -6.6163 -6.7016 -6.5668 -6.3818 -6.2324 -6.3634 -6.2210 -6.7532 -6.5359 -6.1190 -6.6069 -6.6651 -6.5892 -6.6660 -6.6933.